(1)
Below is a relaxed Sr2MnSnCl8 crystal, with properties calculated at the GGA-PBE level.

Cell: 6.421 8.582 6.620 Å, 90.00 90.12 90.00°
Atoms (fractional coordinates):
Sr 0.000 0.240 0.000
Sr 0.000 0.760 0.000
Mn 0.500 0.000 0.500
Sn 0.500 0.500 0.500
Cl 0.229 0.500 0.164
Cl 0.245 0.000 0.195
Cl 0.292 0.224 0.659
Cl 0.292 0.776 0.659
Cl 0.708 0.224 0.341
Cl 0.708 0.776 0.341
Cl 0.755 0.000 0.805
Cl 0.771 0.500 0.836

Output
Its space group is P2/m (10).


(2)
Below is a relaxed Mn2TlSnCl8 crystal, with properties calculated at the GGA-PBE level.

Cell: 6.620 6.620 9.518 Å, 90.00 90.00 120.00°
Atoms (fractional coordinates):
Mn 0.333 0.667 0.250
Mn 0.667 0.333 0.750
Tl 0.000 0.000 0.500
Sn 0.000 0.000 0.000
Cl 0.004 0.324 0.176
Cl 0.320 0.996 0.176
Cl 0.324 0.320 0.824
Cl 0.333 0.667 0.487
Cl 0.667 0.333 0.513
Cl 0.676 0.680 0.176
Cl 0.680 0.004 0.824
Cl 0.996 0.676 0.824

Output
Its space group is P-3 (147).


(3)
Below is a relaxed MnTl2SnCl6 crystal, with properties calculated at the GGA-PBE level.

Cell: 7.360 7.363 7.365 Å, 61.65 61.67 61.65°
Atoms (fractional coordinates):
Mn 0.000 0.000 0.000
Tl 0.234 0.234 0.233
Tl 0.766 0.766 0.767
Sn 0.500 0.500 0.500
Cl 0.164 0.775 0.307
Cl 0.225 0.694 0.836
Cl 0.306 0.164 0.776
Cl 0.694 0.836 0.224
Cl 0.775 0.306 0.164
Cl 0.836 0.225 0.693

Output
Its space group is P-1 (2).


no.,E (eV/atom)
1,-4.335
2,-4.276
3,-3.932